A relaxed TaTcIrRh crystal. Source: Alexandria via LeMat-Bulk, functional PBE.

Summary:
- magnetic moment (Bohr magnetons per cell) = 0.000
- DFT total energy (eV/atom) = -10.070
- symmetry = Pmmm (47)
- ΔH_f (0 K) (eV/atom) = -0.462
- crystal system = orthorhombic

Cell: 3.9139 3.9218 3.9413 Å, 90.00 90.00 90.00°
Fractional positions:
Ta (0.0000, 0.0000, 0.0000)
Tc (0.0000, 0.5000, 0.5000)
Ir (0.5000, 0.0000, 0.5000)
Rh (0.5000, 0.5000, 0.0000)